Entry 1:
# PBE LiAcS2, relaxed
# ρ (kg/m³): 5476
# Raw formation energy (eV per atom): -1.5427
data_LiAcS2
_chemical_formula_sum 'Li1 Ac1 S2'
_space_group_name_H-M_alt 'P 4/m m m'
_space_group_IT_number 123
_space_group_name_Hall '-P 4 2'
_cell_length_a 4.9778
_cell_length_b 4.9778
_cell_length_c 3.6478
_cell_angle_alpha 90.00
_cell_angle_beta 90.00
_cell_angle_gamma 90.00
loop_
_atom_site_label
_atom_site_type_symbol
_atom_site_fract_x
_atom_site_fract_y
_atom_site_fract_z
Li1 Li 0.0000 0.0000 0.0000
Ac1 Ac 0.5000 0.5000 0.0000
S1 S 0.0000 0.5000 0.5000



Entry 2:
# PBE LiAcS2, relaxed
# ρ (kg/m³): 4504
# Raw formation energy (eV per atom): -1.6883
data_LiAcS2
_chemical_formula_sum 'Li3 Ac3 S6'
_space_group_name_H-M_alt 'R 3 m'
_space_group_IT_number 160
_space_group_name_Hall 'R 3 -2"'
_cell_length_a 4.2643
_cell_length_b 4.2643
_cell_length_c 20.9355
_cell_angle_alpha 90.00
_cell_angle_beta 90.00
_cell_angle_gamma 120.00
loop_
_atom_site_label
_atom_site_type_symbol
_atom_site_fract_x
_atom_site_fract_y
_atom_site_fract_z
Li1 Li 0.0000 0.0000 0.0000
Ac1 Ac 0.0000 0.0000 0.8104
S1 S 0.0000 0.0000 0.2186
S2 S 0.0000 0.0000 0.3911



Entry 3:
# PBE LiAcS2, relaxed
# ρ (kg/m³): 4937
# Raw formation energy (eV per atom): -1.7733
data_LiAcS2
_chemical_formula_sum 'Li3 Ac3 S6'
_space_group_name_H-M_alt 'R -3 m'
_space_group_IT_number 166
_space_group_name_Hall '-R 3 2"'
_cell_length_a 4.3060
_cell_length_b 4.3060
_cell_length_c 18.7307
_cell_angle_alpha 90.00
_cell_angle_beta 90.00
_cell_angle_gamma 120.00
loop_
_atom_site_label
_atom_site_type_symbol
_atom_site_fract_x
_atom_site_fract_y
_atom_site_fract_z
Li1 Li 0.0000 0.0000 0.0000
Ac1 Ac 0.0000 0.0000 0.5000
S1 S 0.0000 0.0000 0.2542



Entry 4:
# PBE LiAc2SbS5, relaxed
# ρ (kg/m³): 5666
# Raw formation energy (eV per atom): -1.4944
data_LiAc2SbS5
_chemical_formula_sum 'Li4 Ac8 Sb4 S20'
_space_group_name_H-M_alt 'C m c 21'
_space_group_IT_number 36
_space_group_name_Hall 'C 2c -2'
_cell_length_a 4.1436
_cell_length_b 17.4054
_cell_length_c 12.0780
_cell_angle_alpha 90.00
_cell_angle_beta 90.00
_cell_angle_gamma 90.00
loop_
_atom_site_label
_atom_site_type_symbol
_atom_site_fract_x
_atom_site_fract_y
_atom_site_fract_z
Li1 Li 0.0000 0.0162 0.0000
Ac1 Ac 0.0000 0.3760 0.8257
Ac2 Ac 0.0000 0.3892 0.2110
Sb1 Sb 0.0000 0.3065 0.5283
S1 S 0.0000 0.0008 0.8018
S2 S 0.0000 0.1311 0.5241
S3 S 0.0000 0.1964 0.8692
S4 S 0.0000 0.2135 0.1833
S5 S 0.0000 0.4461 0.5782



no.,volume (Å³ per cell)
1,90.4
2,329.7
3,300.8
4,871.1